# 1
Below is a relaxed ScAlGa4Co2 crystal, with properties calculated at the PBE-GGA level.

Cell and atoms, written as POSCAR:
```
ScAlGa4Co2
1.0
-2.693 -2.410 0.096
1.773 -2.076 -2.370
4.648 -4.883 7.755
Al Ga Co Sc
1 4 2 1
direct
0.000 0.000 0.500 Al
0.500 0.000 0.226 Ga
0.000 0.500 0.226 Ga
0.000 0.500 0.774 Ga
0.500 0.000 0.774 Ga
0.500 0.500 0.390 Co
0.500 0.500 0.610 Co
0.000 0.000 0.000 Sc
```

## Properties
Total energy, eV/atom: -4.5767
Spin magnetization, μB/cell: 0.000
Space-group type: P4/mmm, No. 123
Energy relative to the elements, eV per atom: -0.03

***

# 2
Below is a relaxed SrAlGa2Co crystal, with properties calculated at the PBE-GGA level.

Cell and atoms, written as POSCAR:
```
SrAlGa2Co
1.0
-4.038 0.526 2.254
-2.127 -2.630 -3.197
0.902 -3.762 2.495
Ga Sr Al Co
2 1 1 1
direct
0.000 0.500 0.000 Ga
0.500 0.000 0.000 Ga
0.500 0.500 0.500 Sr
0.000 0.000 0.500 Al
0.000 0.000 0.000 Co
```

## Properties
Total energy, eV/atom: -4.0468
Spin magnetization, μB/cell: 0.000
Space-group type: P4/mmm, No. 123
Energy relative to the elements, eV per atom: -0.33

***

# 3
Below is a relaxed ThAl2GaCo2 crystal, with properties calculated at the PBE-GGA level.

Cell and atoms, written as POSCAR:
```
ThAl2GaCo2
1.0
4.355 0.000 0.000
0.000 4.355 0.000
0.000 0.000 5.716
Ga Co Al Th
1 2 2 1
direct
0.000 0.000 0.000 Ga
0.500 0.000 0.000 Co
0.000 0.500 0.000 Co
0.500 0.500 0.247 Al
0.500 0.500 0.753 Al
0.000 0.000 0.500 Th
```

## Properties
Total energy, eV/atom: -5.5341
Spin magnetization, μB/cell: 1.766
Space-group type: P4/mmm, No. 123
Energy relative to the elements, eV per atom: -0.18